#a
Material: PmSn3Pd2
Method: DFT, PBE
State: relaxed

Calculated values
- Space-group type: C2/m, No. 12

Cell and atoms, written as CIF:
```
data_PmSn3Pd2
_cell_length_a 9.1105
_cell_length_b 9.1105
_cell_length_c 10.7565
_cell_angle_alpha 105.90
_cell_angle_beta 105.90
_cell_angle_gamma 28.84
_symmetry_space_group_name_H-M 'P 1'
_symmetry_Int_Tables_number 1
_symmetry_space_group_name_Hall 'P 1'
loop_
_atom_site_label
_atom_site_type_symbol
_atom_site_fract_x
_atom_site_fract_y
_atom_site_fract_z
Pm1 Pm 0.0000 0.0000 0.0000
Pm2 Pm 0.1560 0.1560 0.7050
Pm3 Pm 0.8440 0.8440 0.2950
Sn1 Sn 0.0448 0.0448 0.3487
Sn2 Sn 0.2206 0.2206 0.3675
Sn3 Sn 0.3382 0.3382 0.0708
Sn4 Sn 0.3714 0.3714 0.8198
Sn5 Sn 0.5000 0.5000 0.5000
Sn6 Sn 0.6286 0.6286 0.1802
Sn7 Sn 0.6618 0.6618 0.9292
Sn8 Sn 0.7794 0.7794 0.6325
Sn9 Sn 0.9552 0.9552 0.6513
Pd1 Pd 0.1905 0.1905 0.0952
Pd2 Pd 0.3564 0.3564 0.5512
Pd3 Pd 0.4848 0.4848 0.2235
Pd4 Pd 0.5152 0.5152 0.7765
Pd5 Pd 0.6436 0.6436 0.4488
Pd6 Pd 0.8095 0.8095 0.9048
```



#b
Material: PmSn3Pd2
Method: DFT, PBE
State: relaxed

Calculated values
- Space-group type: Cmcm, No. 63

Cell and atoms, written as CIF:
```
data_PmSn3Pd2
_cell_length_a 6.7963
_cell_length_b 6.7963
_cell_length_c 5.8308
_cell_angle_alpha 90.00
_cell_angle_beta 90.00
_cell_angle_gamma 83.41
_symmetry_space_group_name_H-M 'P 1'
_symmetry_Int_Tables_number 1
_symmetry_space_group_name_Hall 'P 1'
loop_
_atom_site_label
_atom_site_type_symbol
_atom_site_fract_x
_atom_site_fract_y
_atom_site_fract_z
Pm1 Pm 0.0819 0.9181 0.7500
Pm2 Pm 0.9181 0.0819 0.2500
Sn1 Sn 0.0792 0.6030 0.2500
Sn2 Sn 0.3970 0.9208 0.2500
Sn3 Sn 0.4198 0.5802 0.7500
Sn4 Sn 0.5802 0.4198 0.2500
Sn5 Sn 0.6030 0.0792 0.7500
Sn6 Sn 0.9208 0.3970 0.7500
Pd1 Pd 0.2734 0.2734 0.0000
Pd2 Pd 0.2734 0.2734 0.5000
Pd3 Pd 0.7266 0.7266 0.0000
Pd4 Pd 0.7266 0.7266 0.5000
```



Stability, highest: #a



#a
Material: PmSn4Pd4
Method: DFT, PBE
State: relaxed

Calculated values
- Space-group type: P4_2/nmc, No. 137

Cell and atoms, written as CIF:
```
data_PmSn4Pd4
_cell_length_a 6.5315
_cell_length_b 6.5315
_cell_length_c 9.1068
_cell_angle_alpha 90.00
_cell_angle_beta 90.00
_cell_angle_gamma 90.00
_symmetry_space_group_name_H-M 'P 1'
_symmetry_Int_Tables_number 1
_symmetry_space_group_name_Hall 'P 1'
loop_
_atom_site_label
_atom_site_type_symbol
_atom_site_fract_x
_atom_site_fract_y
_atom_site_fract_z
Pm1 Pm 0.2500 0.7500 0.2500
Pm2 Pm 0.7500 0.2500 0.7500
Sn1 Sn 0.0186 0.2500 0.0524
Sn2 Sn 0.2500 0.0186 0.5524
Sn3 Sn 0.2500 0.4814 0.5524
Sn4 Sn 0.4814 0.2500 0.0524
Sn5 Sn 0.5186 0.7500 0.9476
Sn6 Sn 0.7500 0.5186 0.4476
Sn7 Sn 0.7500 0.9814 0.4476
Sn8 Sn 0.9814 0.7500 0.9476
Pd1 Pd 0.0357 0.2500 0.3432
Pd2 Pd 0.2500 0.0357 0.8432
Pd3 Pd 0.2500 0.4643 0.8432
Pd4 Pd 0.4643 0.2500 0.3432
Pd5 Pd 0.5357 0.7500 0.6568
Pd6 Pd 0.7500 0.5357 0.1568
Pd7 Pd 0.7500 0.9643 0.1568
Pd8 Pd 0.9643 0.7500 0.6568
```



#b
Material: PmSn4Pd4
Method: DFT, PBE
State: relaxed

Calculated values
- Space-group type: I4/m, No. 87

Cell and atoms, written as CIF:
```
data_PmSn4Pd4
_cell_length_a 6.9587
_cell_length_b 6.9587
_cell_length_c 6.9587
_cell_angle_alpha 96.45
_cell_angle_beta 96.45
_cell_angle_gamma 140.83
_symmetry_space_group_name_H-M 'P 1'
_symmetry_Int_Tables_number 1
_symmetry_space_group_name_Hall 'P 1'
loop_
_atom_site_label
_atom_site_type_symbol
_atom_site_fract_x
_atom_site_fract_y
_atom_site_fract_z
Pm1 Pm 0.0000 0.0000 0.0000
Sn1 Sn 0.1214 0.6420 0.7634
Sn2 Sn 0.3580 0.1214 0.4795
Sn3 Sn 0.6420 0.8786 0.5205
Sn4 Sn 0.8786 0.3580 0.2366
Pd1 Pd 0.2994 0.4121 0.7115
Pd2 Pd 0.4121 0.7006 0.1126
Pd3 Pd 0.5879 0.2994 0.8874
Pd4 Pd 0.7006 0.5879 0.2885
```



Stability, highest: #a